1.
MnW4 | PBE-GGA | relaxed

The structure in POSCAR format:
```
MnW4
1.0
1.962 -1.312 5.859
3.351 3.974 3.589
-5.165 -0.202 -3.631
W Mn
4 1
Cartesian
3.272 1.639 5.817 W
0.422 2.551 2.341 W
-0.273 -0.092 3.476 W
2.042 1.023 3.630 W
0.000 0.000 0.000 Mn
```

Calculated values
The volume is 97.7 Å³ per cell. As for the density: 13427 kg/m³. As for the polymorph energy (0 for the lowest one): 1.007 eV per atom. The formation energy comes out at 5.5 eV per formula unit.


2.
MnW3 | PBE-GGA | relaxed

The structure in POSCAR format:
```
MnW3
1.0
-2.431 4.575 -1.020
-4.736 -3.903 -6.219
-3.728 -1.182 3.580
W Mn
12 4
Cartesian
-6.073 -1.772 -0.402 W
-2.455 3.213 -0.149 W
-4.191 -1.211 -2.184 W
-6.628 -1.230 -3.386 W
-5.985 1.647 -5.682 W
-6.703 0.701 -1.475 W
-1.825 0.740 0.924 W
-8.439 -3.723 -3.510 W
-4.266 0.721 -0.272 W
-4.909 -2.156 2.023 W
-4.822 1.262 -3.256 W
-9.070 -1.249 -4.582 W
-7.848 1.056 -3.893 Mn
-2.401 1.312 -2.063 Mn
-3.046 -1.566 0.234 Mn
-8.493 -1.821 -1.595 Mn
```

Calculated values
The volume is 244.6 Å³ per cell. As for the density: 16467 kg/m³. The formation energy comes out at 1.1 eV per formula unit.


3.
MnW3 | PBE-GGA | relaxed

The structure in POSCAR format:
```
MnW3
1.0
-3.619 2.317 1.300
0.206 -1.945 4.041
2.649 3.317 1.462
W Mn
3 1
Cartesian
1.325 1.658 0.731 W
-1.809 1.159 0.650 W
0.103 -0.973 2.020 W
0.000 0.000 0.000 Mn
```

Calculated values
The volume is 90.5 Å³ per cell. As for the density: 11130 kg/m³. The formation energy comes out at 9.3 eV per formula unit.


4.
Mn2W3 | PBE-GGA | relaxed

The structure in POSCAR format:
```
Mn2W3
1.0
-0.618 4.067 0.496
-0.650 -1.759 -3.695
-4.861 -0.895 1.281
Mn W
2 3
Cartesian
-1.405 1.982 -0.697 Mn
-4.724 -0.569 -1.222 Mn
-2.364 -0.135 -1.843 W
-3.765 1.547 -0.075 W
0.000 0.000 0.000 W
```

Calculated values
The volume is 75.9 Å³ per cell. As for the density: 14469 kg/m³. As for the polymorph energy (0 for the lowest one): 0.102 eV per atom. The formation energy comes out at 2.1 eV per formula unit.